## LaCdSb2Au (GGA-PBE)

Data for a relaxed structure of LaCdSb2Au.

a b c (Å): 5.496 5.496 5.107
angles (deg): 90.00 90.00 90.00
Element x y z (fractional)
La (0.000, 0.000, 0.000)
Cd (0.500, 0.500, 0.500)
Sb (0.000, 0.500, 0.500)
Sb (0.500, 0.000, 0.500)
Au (0.500, 0.500, 0.000)

Results
Total DFT energy (no corrections), eV per atom: -3.504
Total magnetic moment, μB/cell: 0.00
Formation energy without anion corrections, eV/atom: -0.0310